# 1
Below is a relaxed structure of SrCrP4, with properties calculated at the PBE level.

Cell: 7.6603 7.6603 7.6603 Å, 90.00 90.00 90.00°
Space group F-43m (No. 216)
Symmetry-distinct sites (fractional):
Sr: 0.0000 0.0000 0.0000 x4
Cr: 0.2500 0.2500 0.7500 x4
P: 0.1131 0.1131 0.3869 x16

ΔE_f = 1.4 eV per formula unit
DOS(E_F) = 1.98 states/eV/f.u.

# 2
Below is a relaxed structure of TaBe2Zn2, with properties calculated at the PBE level.

Cell: 3.7030 3.7030 9.1916 Å, 90.00 90.00 90.00°
Space group I4/mmm (No. 139)
Symmetry-distinct sites (fractional):
Ta: 0.0000 0.0000 0.0000 x2
Be: 0.0000 0.5000 0.2500 x4
Zn: 0.0000 0.0000 0.3762 x4

ΔE_f = 0.7 eV per formula unit
Excess energy over the best structure of this formula in the dataset = 20 meV per atom
DOS(E_F) = 1.20 states/eV/f.u.

# 3
Below is a relaxed structure of TcB2S, with properties calculated at the PBE level.

Cell: 4.8393 4.8393 8.5912 Å, 90.00 90.00 90.00°
Space group I-42d (No. 122)
Symmetry-distinct sites (fractional):
Tc: 0.0000 0.0000 0.0000 x4
B: 0.2239 0.2500 0.6250 x8
S: 0.0000 0.0000 0.5000 x4

DOS(E_F) = 2.41 states/eV/f.u.
Raw formation energy = 0.57 eV/atom